(1)
KLaMg2 | GGA-PBEsol | relaxed

abc: 13.2159 3.3622 6.2153
angles: 90.00 108.22 90.00
Space group Cm (No. 8)
Symmetry-distinct sites (fractional):
K (0.0000, 0.0000, 0.0000) (multiplicity 2)
La (0.2996, 0.5000, 0.3673) (multiplicity 2)
Mg (0.0488, 0.5000, 0.5293) (multiplicity 2)
Mg (0.2394, 0.0000, 0.8270) (multiplicity 2)

## Properties
* volume: 32.79 Å³ per atom
* calculated density: 2.869 Mg/m³
* ΔE to the lowest computed polymorph: 20.4 meV per atom
* formation enthalpy at 0 K: 0.1850 eV per atom

(2)
KLaMg2 | GGA-PBEsol | relaxed

abc: 3.5382 3.5382 10.7900
angles: 90.00 90.00 90.00
Space group P4mm (No. 99)
Symmetry-distinct sites (fractional):
K (0.0000, 0.0000, 0.0000) (multiplicity 1)
La (0.5000, 0.5000, 0.3398) (multiplicity 1)
Mg (0.0000, 0.0000, 0.5524) (multiplicity 1)
Mg (0.5000, 0.5000, 0.7217) (multiplicity 1)

## Properties
* volume: 33.77 Å³ per atom
* calculated density: 2.786 Mg/m³
* ΔE to the lowest computed polymorph: 0.0 meV per atom
* formation enthalpy at 0 K: 0.1646 eV per atom

Repeat the second record exactly.
KLaMg2 | GGA-PBEsol | relaxed

abc: 3.5382 3.5382 10.7900
angles: 90.00 90.00 90.00
Space group P4mm (No. 99)
Symmetry-distinct sites (fractional):
K (0.0000, 0.0000, 0.0000) (multiplicity 1)
La (0.5000, 0.5000, 0.3398) (multiplicity 1)
Mg (0.0000, 0.0000, 0.5524) (multiplicity 1)
Mg (0.5000, 0.5000, 0.7217) (multiplicity 1)

## Properties
* volume: 33.77 Å³ per atom
* calculated density: 2.786 Mg/m³
* ΔE to the lowest computed polymorph: 0.0 meV per atom
* formation enthalpy at 0 K: 0.1646 eV per atom